No. 1
# HfGeO4, optimized geometry, DFT GGA-PBE
# * total magnetization: 0.00 μB/atom
# * crystal system: tetragonal
# * ρ: 4.754 g/cm³
# * symmetry: P-42c (112)
# * formation energy without anion corrections: -14.08 eV/f.u.
data_HfGeO4
_chemical_formula_sum 'Hf2 Ge2 O8'
_cell_length_a 4.989
_cell_length_b 4.989
_cell_length_c 8.845
_cell_angle_alpha 90.00
_cell_angle_beta 90.00
_cell_angle_gamma 90.00
_symmetry_space_group_name_H-M 'P 1'
_symmetry_Int_Tables_number 1
_symmetry_space_group_name_Hall 'P 1'
loop_
_atom_site_label
_atom_site_fract_x
_atom_site_fract_y
_atom_site_fract_z
Hf1 0.000 0.000 0.000
Hf2 0.000 0.000 0.500
Ge1 0.000 0.500 0.250
Ge2 0.500 0.000 0.750
O1 0.168 0.277 0.374
O2 0.168 0.723 0.126
O3 0.277 0.168 0.874
O4 0.277 0.832 0.626
O5 0.723 0.168 0.626
O6 0.723 0.832 0.874
O7 0.832 0.277 0.126
O8 0.832 0.723 0.374


No. 2
# Hf3GeO8, optimized geometry, DFT GGA-PBE
# * total magnetization: 0.00 μB/atom
# * crystal system: tetragonal
# * ρ: 9.275 g/cm³
# * symmetry: I-42m (121)
# * formation energy without anion corrections: -36.73 eV/f.u.
data_Hf3GeO8
_chemical_formula_sum 'Hf3 Ge1 O8'
_cell_length_a 6.334
_cell_length_b 6.334
_cell_length_c 6.334
_cell_angle_alpha 133.41
_cell_angle_beta 133.41
_cell_angle_gamma 68.02
_symmetry_space_group_name_H-M 'P 1'
_symmetry_Int_Tables_number 1
_symmetry_space_group_name_Hall 'P 1'
loop_
_atom_site_label
_atom_site_fract_x
_atom_site_fract_y
_atom_site_fract_z
Hf1 0.000 0.000 0.000
Hf2 0.250 0.750 0.500
Hf3 0.750 0.250 0.500
Ge1 0.500 0.500 0.000
O1 0.037 0.037 0.394
O2 0.195 0.627 0.000
O3 0.357 0.963 0.000
O4 0.373 0.373 0.567
O5 0.627 0.195 0.000
O6 0.643 0.643 0.606
O7 0.805 0.805 0.433
O8 0.963 0.357 0.000


No. 3
# HfGeO6, optimized geometry, DFT GGA-PBE
# * total magnetization: 0.50 μB/atom
# * crystal system: cubic
# * ρ: 4.767 g/cm³
# * symmetry: Fm-3m (225)
# * formation energy without anion corrections: -10.46 eV/f.u.
data_HfGeO6
_chemical_formula_sum 'Hf1 Ge1 O6'
_cell_length_a 5.551
_cell_length_b 5.551
_cell_length_c 5.551
_cell_angle_alpha 60.00
_cell_angle_beta 60.00
_cell_angle_gamma 60.00
_symmetry_space_group_name_H-M 'P 1'
_symmetry_Int_Tables_number 1
_symmetry_space_group_name_Hall 'P 1'
loop_
_atom_site_label
_atom_site_fract_x
_atom_site_fract_y
_atom_site_fract_z
Hf1 0.000 0.000 0.000
Ge1 0.500 0.500 0.500
O1 0.262 0.262 0.738
O2 0.262 0.738 0.262
O3 0.262 0.738 0.738
O4 0.738 0.262 0.262
O5 0.738 0.262 0.738
O6 0.738 0.738 0.262


No. 4
# Hf4GeO, optimized geometry, DFT GGA-PBE
# * total magnetization: 0.00 μB/atom
# * crystal system: tetragonal
# * ρ: 11.407 g/cm³
# * symmetry: I4_1md (109)
# * formation energy without anion corrections: -4.67 eV/f.u.
data_Hf4GeO
_chemical_formula_sum 'Hf8 Ge2 O2'
_cell_length_a 6.734
_cell_length_b 6.734
_cell_length_c 6.734
_cell_angle_alpha 107.02
_cell_angle_beta 107.02
_cell_angle_gamma 114.49
_symmetry_space_group_name_H-M 'P 1'
_symmetry_Int_Tables_number 1
_symmetry_space_group_name_Hall 'P 1'
loop_
_atom_site_label
_atom_site_fract_x
_atom_site_fract_y
_atom_site_fract_z
Hf1 0.122 0.433 0.689
Hf2 0.183 0.372 0.189
Hf3 0.183 0.994 0.811
Hf4 0.289 0.000 0.289
Hf5 0.711 0.000 0.711
Hf6 0.744 0.433 0.311
Hf7 0.750 0.539 0.789
Hf8 0.750 0.961 0.211
Ge1 0.231 0.731 0.500
Ge2 0.481 0.481 0.000
O1 0.698 0.198 0.500
O2 0.948 0.948 0.000


No. 5
# HfGePO2, optimized geometry, DFT GGA-PBE
# * total magnetization: 0.00 μB/atom
# * energy relative to the lowest polymorph listed for this composition: 0.626 eV per atom
# * crystal system: tetragonal
# * ρ: 7.485 g/cm³
# * symmetry: P4/mmm (123)
# * formation energy without anion corrections: -3.86 eV/f.u.
data_HfGePO2
_chemical_formula_sum 'Hf1 Ge1 P1 O2'
_cell_length_a 3.756
_cell_length_b 3.756
_cell_length_c 4.941
_cell_angle_alpha 90.00
_cell_angle_beta 90.00
_cell_angle_gamma 90.00
_symmetry_space_group_name_H-M 'P 1'
_symmetry_Int_Tables_number 1
_symmetry_space_group_name_Hall 'P 1'
loop_
_atom_site_label
_atom_site_fract_x
_atom_site_fract_y
_atom_site_fract_z
Hf1 0.000 0.000 0.000
Ge1 0.500 0.500 0.500
P1 0.500 0.500 0.000
O1 0.000 0.500 0.500
O2 0.500 0.000 0.500


No. 6
# HfGePO2, optimized geometry, DFT GGA-PBE
# * total magnetization: 0.00 μB/atom
# * energy relative to the lowest polymorph listed for this composition: 0.000 eV per atom
# * crystal system: tetragonal
# * ρ: 5.994 g/cm³
# * symmetry: P4/mmm (123)
# * formation energy without anion corrections: -6.99 eV/f.u.
data_HfGePO2
_chemical_formula_sum 'Hf1 Ge1 P1 O2'
_cell_length_a 3.988
_cell_length_b 3.988
_cell_length_c 5.473
_cell_angle_alpha 90.00
_cell_angle_beta 90.00
_cell_angle_gamma 90.00
_symmetry_space_group_name_H-M 'P 1'
_symmetry_Int_Tables_number 1
_symmetry_space_group_name_Hall 'P 1'
loop_
_atom_site_label
_atom_site_fract_x
_atom_site_fract_y
_atom_site_fract_z
Hf1 0.000 0.000 0.000
Ge1 0.500 0.500 0.500
P1 0.000 0.000 0.500
O1 0.000 0.500 0.000
O2 0.500 0.000 0.000


No. 7
# HfPaGeO6, optimized geometry, DFT GGA-PBE
# * total magnetization: 0.00 μB/atom
# * crystal system: trigonal
# * ρ: 7.981 g/cm³
# * symmetry: P-31c (163)
# * formation energy without anion corrections: -23.80 eV/f.u.
data_HfPaGeO6
_chemical_formula_sum 'Hf2 Pa2 Ge2 O12'
_cell_length_a 5.601
_cell_length_b 5.601
_cell_length_c 8.855
_cell_angle_alpha 90.00
_cell_angle_beta 90.00
_cell_angle_gamma 120.00
_symmetry_space_group_name_H-M 'P 1'
_symmetry_Int_Tables_number 1
_symmetry_space_group_name_Hall 'P 1'
loop_
_atom_site_label
_atom_site_fract_x
_atom_site_fract_y
_atom_site_fract_z
Hf1 0.333 0.667 0.250
Hf2 0.667 0.333 0.750
Pa1 0.333 0.667 0.750
Pa2 0.667 0.333 0.250
Ge1 0.000 0.000 0.000
Ge2 0.000 0.000 0.500
O1 0.013 0.342 0.129
O2 0.013 0.671 0.371
O3 0.329 0.342 0.371
O4 0.329 0.987 0.129
O5 0.342 0.013 0.629
O6 0.342 0.329 0.871
O7 0.658 0.671 0.129
O8 0.658 0.987 0.371
O9 0.671 0.013 0.871
O10 0.671 0.658 0.629
O11 0.987 0.329 0.629
O12 0.987 0.658 0.871


No. 8
# HfPaGe2O8, optimized geometry, DFT GGA-PBE
# * total magnetization: 0.07 μB/atom
# * crystal system: tetragonal
# * ρ: 7.268 g/cm³
# * symmetry: I-4m2 (119)
# * formation energy without anion corrections: -30.37 eV/f.u.
data_HfPaGe2O8
_chemical_formula_sum 'Hf1 Pa1 Ge2 O8'
_cell_length_a 5.880
_cell_length_b 5.880
_cell_length_c 5.880
_cell_angle_alpha 107.60
_cell_angle_beta 107.60
_cell_angle_gamma 113.29
_symmetry_space_group_name_H-M 'P 1'
_symmetry_Int_Tables_number 1
_symmetry_space_group_name_Hall 'P 1'
loop_
_atom_site_label
_atom_site_fract_x
_atom_site_fract_y
_atom_site_fract_z
Hf1 0.000 0.000 0.000
Pa1 0.750 0.250 0.500
Ge1 0.250 0.750 0.500
Ge2 0.500 0.500 0.000
O1 0.067 0.374 0.306
O2 0.067 0.761 0.694
O3 0.123 0.301 0.822
O4 0.239 0.933 0.306
O5 0.479 0.301 0.178
O6 0.626 0.933 0.694
O7 0.699 0.521 0.822
O8 0.699 0.877 0.178


No. 9
# HfGePbO5, optimized geometry, DFT GGA-PBE
# * total magnetization: 0.00 μB/atom
# * crystal system: monoclinic
# * ρ: 7.629 g/cm³
# * symmetry: C2/c (15)
# * formation energy without anion corrections: -18.19 eV/f.u.
data_HfGePbO5
_chemical_formula_sum 'Hf2 Ge2 Pb2 O10'
_cell_length_a 5.914
_cell_length_b 5.914
_cell_length_c 7.656
_cell_angle_alpha 104.46
_cell_angle_beta 104.46
_cell_angle_gamma 105.93
_symmetry_space_group_name_H-M 'P 1'
_symmetry_Int_Tables_number 1
_symmetry_space_group_name_Hall 'P 1'
loop_
_atom_site_label
_atom_site_fract_x
_atom_site_fract_y
_atom_site_fract_z
Hf1 0.000 0.000 0.000
Hf2 0.000 0.000 0.500
Ge1 0.318 0.682 0.750
Ge2 0.682 0.318 0.250
Pb1 0.320 0.680 0.250
Pb2 0.680 0.320 0.750
O1 0.071 0.929 0.250
O2 0.112 0.695 0.887
O3 0.237 0.375 0.590
O4 0.305 0.888 0.613
O5 0.375 0.237 0.090
O6 0.625 0.763 0.910
O7 0.695 0.112 0.387
O8 0.763 0.625 0.410
O9 0.888 0.305 0.113
O10 0.929 0.071 0.750


No. 10
# HfGePbO6, optimized geometry, DFT GGA-PBE
# * total magnetization: 0.00 μB/atom
# * crystal system: trigonal
# * ρ: 8.289 g/cm³
# * symmetry: P312 (149)
# * formation energy without anion corrections: -17.06 eV/f.u.
data_HfGePbO6
_chemical_formula_sum 'Hf1 Ge1 Pb1 O6'
_cell_length_a 5.254
_cell_length_b 5.254
_cell_length_c 4.645
_cell_angle_alpha 90.00
_cell_angle_beta 90.00
_cell_angle_gamma 120.00
_symmetry_space_group_name_H-M 'P 1'
_symmetry_Int_Tables_number 1
_symmetry_space_group_name_Hall 'P 1'
loop_
_atom_site_label
_atom_site_fract_x
_atom_site_fract_y
_atom_site_fract_z
Hf1 0.000 0.000 0.000
Ge1 0.333 0.667 0.000
Pb1 0.667 0.333 0.500
O1 0.032 0.353 0.229
O2 0.032 0.678 0.771
O3 0.322 0.353 0.771
O4 0.322 0.968 0.229
O5 0.647 0.678 0.229
O6 0.647 0.968 0.771


No. 11
# PrHfGe2O8, optimized geometry, DFT GGA-PBE
# * total magnetization: 0.00 μB/atom
# * crystal system: tetragonal
# * ρ: 6.170 g/cm³
# * symmetry: I-4m2 (119)
# * formation energy without anion corrections: -27.70 eV/f.u.
data_PrHfGe2O8
_chemical_formula_sum 'Pr1 Hf1 Ge2 O8'
_cell_length_a 5.926
_cell_length_b 5.926
_cell_length_c 5.926
_cell_angle_alpha 107.31
_cell_angle_beta 107.31
_cell_angle_gamma 113.89
_symmetry_space_group_name_H-M 'P 1'
_symmetry_Int_Tables_number 1
_symmetry_space_group_name_Hall 'P 1'
loop_
_atom_site_label
_atom_site_fract_x
_atom_site_fract_y
_atom_site_fract_z
Pr1 0.000 0.000 0.000
Hf1 0.750 0.250 0.500
Ge1 0.250 0.750 0.500
Ge2 0.500 0.500 0.000
O1 0.052 0.380 0.329
O2 0.052 0.723 0.671
O3 0.128 0.325 0.804
O4 0.277 0.948 0.329
O5 0.521 0.325 0.196
O6 0.620 0.948 0.671
O7 0.675 0.479 0.804
O8 0.675 0.872 0.196


No. 12
# PrHf2GeO8, optimized geometry, DFT GGA-PBE
# * total magnetization: 0.08 μB/atom
# * crystal system: monoclinic
# * ρ: 7.349 g/cm³
# * symmetry: P2/m (10)
# * formation energy without anion corrections: -32.54 eV/f.u.
data_PrHf2GeO8
_chemical_formula_sum 'Pr1 Hf2 Ge1 O8'
_cell_length_a 4.881
_cell_length_b 6.633
_cell_length_c 4.882
_cell_angle_alpha 90.00
_cell_angle_beta 93.05
_cell_angle_gamma 90.00
_symmetry_space_group_name_H-M 'P 1'
_symmetry_Int_Tables_number 1
_symmetry_space_group_name_Hall 'P 1'
loop_
_atom_site_label
_atom_site_fract_x
_atom_site_fract_y
_atom_site_fract_z
Pr1 0.000 0.000 0.000
Hf1 0.500 0.256 0.500
Hf2 0.500 0.744 0.500
Ge1 0.000 0.500 0.000
O1 0.197 0.298 0.198
O2 0.197 0.702 0.198
O3 0.294 0.500 0.708
O4 0.329 0.000 0.674
O5 0.671 0.000 0.326
O6 0.706 0.500 0.292
O7 0.803 0.298 0.802
O8 0.803 0.702 0.802